InCuPd2: relaxed, PBE.

Cell lengths 4.5201, 4.5201, 7.8544 Å; angles 90.00, 90.00, 120.00 degrees
Last column: nearest neighbours and their distance in Å.
Fractional positions:
Cu 0.6667 0.3333 0.7500  2 Pd 2.60
Cu 0.3333 0.6667 0.2500  2 Pd 2.60
Pd 0.3333 0.6667 0.5811  1 Cu 2.60, 4 Pd 2.65-2.90, 3 In 2.69
Pd 0.6667 0.3333 0.0811  1 Cu 2.60, 4 Pd 2.65-2.90, 3 In 2.69
Pd 0.6667 0.3333 0.4189  1 Cu 2.60, 4 Pd 2.65-2.90, 3 In 2.69
Pd 0.3333 0.6667 0.9189  1 Cu 2.60, 4 Pd 2.65-2.90, 3 In 2.69
In 0.0000 0.0000 0.5000  6 Pd 2.69
In 0.0000 0.0000 0.0000  6 Pd 2.69

Results
Space group: No. 194
Theoretical density, Mg/m³: 9.349
Calculated total energy, eV/atom: -4.411